A plane-wave DFT calculation with PBE was carried out for a geometry-optimized CuP2SO structure.

CIF file:
```
data_CuP2SO
_chemical_formula_sum 'Cu1 P2 S1 O1'
_cell_length_a 4.673
_cell_length_b 4.673
_cell_length_c 3.310
_cell_angle_alpha 90.00
_cell_angle_beta 90.00
_cell_angle_gamma 90.00
_space_group_name_H-M_alt 'P 1'
_space_group_IT_number 1
loop_
_space_group_symop_operation_xyz
'x,y,z'
loop_
_atom_site_label
_atom_site_type_symbol
_atom_site_fract_x
_atom_site_fract_y
_atom_site_fract_z
P1 P 0.500 0.000 0.000
P2 P 0.000 0.500 0.000
Cu1 Cu 0.500 0.500 0.500
O1 O 0.000 0.000 0.500
S1 S 0.000 0.000 0.000
```

SG   P4/mmm (123)
Total moment   0.0000 μB per atom
Raw formation energy   588 meV/atom

A plane-wave DFT calculation with PBE was carried out for a geometry-optimized Fe3Pb5 structure.

CIF file:
```
data_Fe3Pb5
_chemical_formula_sum 'Fe6 Pb10'
_cell_length_a 8.207
_cell_length_b 8.207
_cell_length_c 6.268
_cell_angle_alpha 90.00
_cell_angle_beta 90.00
_cell_angle_gamma 120.00
_space_group_name_H-M_alt 'P 1'
_space_group_IT_number 1
loop_
_space_group_symop_operation_xyz
'x,y,z'
loop_
_atom_site_label
_atom_site_type_symbol
_atom_site_fract_x
_atom_site_fract_y
_atom_site_fract_z
Pb1 Pb 0.667 0.333 0.500
Fe1 Fe 0.600 0.600 0.250
Fe2 Fe 0.000 0.400 0.250
Pb2 Pb 0.753 0.000 0.250
Fe3 Fe 0.400 0.400 0.750
Pb3 Pb 0.667 0.333 0.000
Pb4 Pb 0.000 0.753 0.250
Pb5 Pb 0.247 0.247 0.250
Fe4 Fe 0.400 0.000 0.250
Fe5 Fe 0.000 0.600 0.750
Pb6 Pb 0.000 0.247 0.750
Pb7 Pb 0.333 0.667 0.000
Pb8 Pb 0.333 0.667 0.500
Pb9 Pb 0.247 0.000 0.750
Fe6 Fe 0.600 0.000 0.750
Pb10 Pb 0.753 0.753 0.750
```

SG   P6_3/mcm (193)
Formation energy   0.5621 eV/atom
Total moment   0.9439 μB per atom

A plane-wave DFT calculation with PBE was carried out for a geometry-optimized Ac2Pm3Er6 structure.

CIF file:
```
data_Ac2Pm3Er6
_chemical_formula_sum 'Ac2 Pm3 Er6'
_cell_length_a 6.221
_cell_length_b 6.226
_cell_length_c 11.942
_cell_angle_alpha 85.02
_cell_angle_beta 79.99
_cell_angle_gamma 60.02
_space_group_name_H-M_alt 'P 1'
_space_group_IT_number 1
loop_
_space_group_symop_operation_xyz
'x,y,z'
loop_
_atom_site_label
_atom_site_type_symbol
_atom_site_fract_x
_atom_site_fract_y
_atom_site_fract_z
Er1 Er 0.254 0.000 0.242
Ac1 Ac 0.833 0.334 0.500
Er2 Er 0.414 0.668 0.758
Er3 Er 0.586 0.332 0.242
Er4 Er 0.918 0.668 0.242
Pm1 Pm 0.665 0.671 0.000
Er5 Er 0.746 0.000 0.758
Er6 Er 0.082 0.332 0.758
Ac2 Ac 0.167 0.666 0.500
Pm2 Pm 0.000 0.000 0.000
Pm3 Pm 0.335 0.329 0.000
```

SG   C2/m (12)
Formation energy   0.1895 eV/atom
Total moment   0.0000 μB per atom

no.,calculated total energy (Ha/atom),DOS(E_F) (states/eV per atom)
1,-0.15480,0.498
2,-0.18114,1.391
3,-0.15956,1.356